YRe | GGA-PBE | relaxed

The structure in CIF format:
```
data_YRe
_chemical_formula_sum 'Y6 Re6'
_cell_length_a 3.1458
_cell_length_b 3.1458
_cell_length_c 29.8876
_cell_angle_alpha 90.00
_cell_angle_beta 90.00
_cell_angle_gamma 120.00
_space_group_name_H-M_alt 'R -3 m'
_space_group_IT_number 166
_space_group_name_Hall '-R 3 2"'
loop_
_atom_site_label
_atom_site_fract_x
_atom_site_fract_y
_atom_site_fract_z
_atom_site_occupancy
Y1 0.0000 0.0000 0.1131 1
Re1 0.0000 0.0000 0.3645 1
```

Results
The calculation puts the energy of formation from the pure elements at 1.1 eV per formula unit.

=====

Cu8Ni2Rh | GGA-PBE | relaxed

The structure in CIF format:
```
data_Cu8Ni2Rh
_chemical_formula_sum 'Cu16 Ni4 Rh2'
_cell_length_a 3.9214
_cell_length_b 9.6422
_cell_length_c 7.4084
_cell_angle_alpha 90.00
_cell_angle_beta 90.00
_cell_angle_gamma 90.00
_space_group_name_H-M_alt 'A m m 2'
_space_group_IT_number 38
loop_
_space_group_symop_operation_xyz
'x,y,z'
'-x,-y,z'
'-x,y,z'
'x,-y,z'
'x,y+1/2,z+1/2'
'-x,-y+1/2,z+1/2'
'-x,y+1/2,z+1/2'
'x,-y+1/2,z+1/2'
loop_
_atom_site_label
_atom_site_fract_x
_atom_site_fract_y
_atom_site_fract_z
_atom_site_occupancy
Cu1 0.0000 0.0000 0.0000 1
Cu2 0.0000 0.0000 0.3254 1
Cu3 0.0000 0.2446 0.1864 1
Cu4 0.5000 0.1320 0.8326 1
Cu5 0.5000 0.1376 0.4946 1
Ni1 0.5000 0.1190 0.1613 1
Rh1 0.0000 0.0000 0.6607 1
```

Results
The calculation puts the energy of formation from the pure elements at 1.7 eV per formula unit.

=====

NdSmCdGa | GGA-PBE | relaxed

The structure in CIF format:
```
data_NdSmCdGa
_chemical_formula_sum 'Nd4 Sm4 Cd4 Ga4'
_cell_length_a 7.5213
_cell_length_b 7.5213
_cell_length_c 7.5213
_cell_angle_alpha 90.00
_cell_angle_beta 90.00
_cell_angle_gamma 90.00
_space_group_name_H-M_alt 'F -4 3 m'
_space_group_IT_number 216
_space_group_name_Hall 'F -4 2 3'
loop_
_atom_site_label
_atom_site_fract_x
_atom_site_fract_y
_atom_site_fract_z
_atom_site_occupancy
Nd1 0.0000 0.0000 0.0000 1
Sm1 0.0000 0.0000 0.5000 1
Cd1 0.2500 0.2500 0.7500 1
Ga1 0.2500 0.2500 0.2500 1
```

Results
The calculation puts the energy of formation from the pure elements at -1.7 eV per formula unit.

=====

LaPm2TaO8 | GGA-PBE | relaxed

The structure in CIF format:
```
data_LaPm2TaO8
_chemical_formula_sum 'La1 Pm2 Ta1 O8'
_cell_length_a 3.9600
_cell_length_b 5.5096
_cell_length_c 7.5699
_cell_angle_alpha 90.00
_cell_angle_beta 90.00
_cell_angle_gamma 90.00
_space_group_name_H-M_alt 'P m m m'
_space_group_IT_number 47
loop_
_space_group_symop_operation_xyz
'x,y,z'
'-x,-y,-z'
'-x,-y,z'
'x,y,-z'
'x,-y,-z'
'-x,y,z'
'-x,y,-z'
'x,-y,z'
loop_
_atom_site_label
_atom_site_fract_x
_atom_site_fract_y
_atom_site_fract_z
_atom_site_occupancy
La1 0.0000 0.0000 0.0000 1
Pm1 0.5000 0.5000 0.2478 1
Ta1 0.0000 0.0000 0.5000 1
O1 0.0000 0.2404 0.2936 1
O2 0.5000 0.1813 0.5000 1
O3 0.5000 0.2578 0.0000 1
```

Results
For the uncorrected formation energy, the calculation gives -2850 meV per atom.